(1)
The following is a PBE calculation of a relaxed CsSmGeSe4 crystal, from the Alexandria database.

Geometry as extended XYZ:
```
28
Lattice="-3.6452 -4.7777 3.3540 6.0647 -2.8916 2.4722 -0.8072 11.2143 15.0971" Properties=species:S:1:pos:R:3 pbc="T T T"
Cs 2.6139 3.6995 8.3829
Cs 0.4686 7.1304 17.4548
Cs 3.7128 0.6043 12.2289
Cs -3.5707 -4.3443 3.7801
Sm -3.4037 4.8245 14.3751
Sm 3.1564 -3.1543 8.9174
Sm 1.6683 -0.2471 5.6023
Sm 1.8036 5.6667 12.9518
Ge -0.1977 2.7001 13.6478
Ge 0.1207 -3.3967 6.4585
Ge -0.9257 2.6795 5.7664
Ge 4.2272 5.1069 15.9739
Se 3.1970 4.6385 18.0417
Se -3.6628 0.0663 9.3361
Se 2.8061 -0.7588 2.8677
Se 0.8842 3.1439 11.6012
Se -2.4908 2.0248 13.5171
Se 2.4488 -3.2084 5.9333
Se -0.3484 1.1059 7.4759
Se 3.6149 7.1676 14.9203
Se 0.7690 0.8245 14.7788
Se -0.8244 -1.8211 4.9236
Se 2.7514 -0.1988 8.4149
Se 0.5285 8.2851 13.7293
Se -0.3220 4.7465 14.8524
Se 0.0571 -2.8330 8.7676
Se 0.0119 1.6991 3.8136
Se 3.4775 3.4773 14.4131
```

Summary:
**Excess energy over the best structure of this formula in the dataset**: 0 meV/atom
**Formation energy (no corrections)**: -1.173 eV per atom
**DFT total energy**: -129.37 eV for the cell shown
**Fermi-level density of states**: 0.000 states/eV per cell

---

(2)
The following is a PBE calculation of a relaxed CsBa2As2 crystal, from the Alexandria database.

Geometry as extended XYZ:
```
5
Lattice="5.6784 0.0000 0.0000 0.0000 5.6784 0.0000 2.8392 2.8392 6.4335" Properties=species:S:1:pos:R:3 pbc="T T T"
Cs 0.0000 0.0000 0.0000
As 2.8392 2.8392 1.4747
As 5.6784 5.6784 4.9588
Ba 5.6784 2.8392 3.2167
Ba 2.8392 5.6784 3.2167
```

Summary:
**Excess energy over the best structure of this formula in the dataset**: 160 meV/atom
**E_form**: -0.61 eV/atom
**DFT total energy**: -17.03 eV for the cell shown
**Fermi-level density of states**: 2.914 states/eV per cell